DFT (PBE-GGA) results for a geometry-optimized K2POs structure. Values from VASP.

Geometry as Quantum ESPRESSO input:
```
&SYSTEM
  ibrav = 0, nat = 4, ntyp = 3
/
ATOMIC_SPECIES
K 39.10 K.upf
P 30.97 P.upf
Os 190.23 Os.upf
ATOMIC_POSITIONS crystal
K 0.2464 0.2464 0.2464
K 0.7536 0.7536 0.7536
P 0.5000 0.5000 0.5000
Os 0.0000 0.0000 0.0000
CELL_PARAMETERS angstrom
1.4532 0.8390 11.1403
-1.4532 0.8390 11.1403
0.0000 -1.6780 11.1403
```

Output
Total DFT energy (no corrections): -14.934 eV for the cell shown
ΔH_f (0 K): 3.901 eV/f.u.

DFT (PBE-GGA) results for a geometry-optimized KPOs2 structure. Values from VASP.

Geometry as Quantum ESPRESSO input:
```
&SYSTEM
  ibrav = 0, nat = 4, ntyp = 3
/
ATOMIC_SPECIES
K 39.10 K.upf
P 30.97 P.upf
Os 190.23 Os.upf
ATOMIC_POSITIONS crystal
K 0.0000 0.0000 0.0000
P 0.5000 0.0000 0.5000
Os 0.4985 0.5000 0.3390
Os 0.5015 0.5000 0.6610
CELL_PARAMETERS angstrom
2.6693 0.0000 0.0000
0.0000 3.7703 0.0000
-0.0204 0.0000 8.2539
```

Output
Total DFT energy (no corrections): -25.334 eV for the cell shown
ΔH_f (0 K): 3.632 eV/f.u.

DFT (PBE-GGA) results for a geometry-optimized KPOs structure. Values from VASP.

Geometry as Quantum ESPRESSO input:
```
&SYSTEM
  ibrav = 0, nat = 3, ntyp = 3
/
ATOMIC_SPECIES
K 39.10 K.upf
P 30.97 P.upf
Os 190.23 Os.upf
ATOMIC_POSITIONS crystal
K 0.0000 0.0000 0.0000
P 0.3333 0.6667 0.5330
Os 0.6667 0.3333 0.4980
CELL_PARAMETERS angstrom
3.8655 0.0000 0.0000
-1.9327 3.3476 0.0000
0.0000 0.0000 5.6396
```

Output
Total DFT energy (no corrections): -17.732 eV for the cell shown
ΔH_f (0 K): 0.005 eV/f.u.

Copy entry 1 word for word.
DFT (PBE-GGA) results for a geometry-optimized K2POs structure. Values from VASP.

Geometry as Quantum ESPRESSO input:
```
&SYSTEM
  ibrav = 0, nat = 4, ntyp = 3
/
ATOMIC_SPECIES
K 39.10 K.upf
P 30.97 P.upf
Os 190.23 Os.upf
ATOMIC_POSITIONS crystal
K 0.2464 0.2464 0.2464
K 0.7536 0.7536 0.7536
P 0.5000 0.5000 0.5000
Os 0.0000 0.0000 0.0000
CELL_PARAMETERS angstrom
1.4532 0.8390 11.1403
-1.4532 0.8390 11.1403
0.0000 -1.6780 11.1403
```

Output
Total DFT energy (no corrections): -14.934 eV for the cell shown
ΔH_f (0 K): 3.901 eV/f.u.

> Which value of total DFT energy (no corrections) does entry 2 give?

-25.334 eV for the cell shown

> The highest ΔH_f (0 K) belongs to which entry?

K2POs

> Which of these has the lowest ΔH_f (0 K)?

KPOs